Entry 1:
PmSm6Pd3: relaxed, PBE.

It has space group Cmc2_1 (No. 36), with a = 11.7793 Å, b = 13.3969 Å, c = 7.3119 Å, α = 90.00°, β = 90.00° and γ = 90.00°. The distinct sites, in fractional coordinates, are Pm at (0.0000, 0.1780, 0.0000), Sm at (0.0000, 0.2666, 0.5185), Sm at (0.0000, 0.4643, 0.8789), Sm at (0.1712, 0.0411, 0.3682), Sm at (0.2260, 0.3056, 0.2133), Pd at (0.0000, 0.0692, 0.6613) and Pd at (0.1836, 0.4032, 0.5806).

Its density of states at the Fermi level is 11.697 states/eV/f.u. Its energy of formation is -0.449 eV/atom.

---

Entry 2:
CrIn2Te: relaxed, PBE.

It has space group Amm2 (No. 38), with a = 3.8186 Å, b = 4.1855 Å, c = 12.8402 Å, α = 90.00°, β = 90.00° and γ = 90.00°. The distinct sites, in fractional coordinates, are Cr at (0.0000, 0.0000, 0.0000), In at (0.0000, 0.0000, 0.7790), In at (0.5000, 0.0000, 0.4403) and Te at (0.5000, 0.0000, 0.1562).

Its uncorrected formation energy is 0.1474 eV/atom. Its density of states at the Fermi level is 1.647 states/eV/f.u.

---

Entry 3:
La2Si4Ir3Pt: relaxed, PBE.

It has space group P-4m2 (No. 115), with a = 4.2183 Å, b = 4.2183 Å, c = 10.0871 Å, α = 90.00°, β = 90.00° and γ = 90.00°. The distinct sites, in fractional coordinates, are La at (0.0000, 0.5000, 0.2396), Si at (0.0000, 0.0000, 0.0000), Si at (0.0000, 0.5000, 0.6348), Si at (0.5000, 0.5000, 0.0000), Ir at (0.0000, 0.5000, 0.8750), Ir at (0.5000, 0.5000, 0.5000) and Pt at (0.0000, 0.0000, 0.5000).

Its uncorrected formation energy is -1.0349 eV/atom. Its density of states at the Fermi level is 5.824 states/eV/f.u.

---

Entry 4:
LaTaTc3: relaxed, PBE.

It has space group Pm-3m (No. 221), with a = 4.8364 Å, b = 4.8364 Å, c = 4.8364 Å, α = 90.00°, β = 90.00° and γ = 90.00°. The distinct sites, in fractional coordinates, are La at (0.0000, 0.0000, 0.0000), Ta at (0.5000, 0.5000, 0.5000) and Tc at (0.0000, 0.5000, 0.5000).

The calculation puts the distance to the lowest polymorph of the same formula at 0.000 eV/atom. Its density of states at the Fermi level is 5.758 states/eV/f.u. Its energy of formation is 0.946 eV/atom.

---

Entry 5:
CeYMgGe: relaxed, PBE.

It has space group F-43m (No. 216), with a = 7.3451 Å, b = 7.3451 Å, c = 7.3451 Å, α = 90.00°, β = 90.00° and γ = 90.00°. The distinct sites, in fractional coordinates, are Ce at (0.0000, 0.0000, 0.0000), Y at (0.0000, 0.0000, 0.5000), Mg at (0.2500, 0.2500, 0.2500) and Ge at (0.2500, 0.2500, 0.7500).

Its density of states at the Fermi level is 8.158 states/eV/f.u. Its energy of formation is -0.319 eV/atom.

---

Entry 6:
MnPt2I8: relaxed, PBE.

It has space group C2/m (No. 12), with a = 11.8016 Å, b = 10.6486 Å, c = 8.4427 Å, α = 90.00°, β = 104.85° and γ = 90.00°. The distinct sites, in fractional coordinates, are Mn at (0.0000, 0.0000, 0.0000), Pt at (0.1261, 0.0000, 0.3803), I at (0.1103, 0.0000, 0.6891), I at (0.1443, 0.5000, 0.4935) and I at (0.1482, 0.1783, 0.1522).

Its uncorrected formation energy is -0.0607 eV/atom. Its density of states at the Fermi level is 8.914 states/eV/f.u.